Material: LaEuH
Method: DFT, PBE-GGA
State: relaxed

a = 3.793 Å, b = 3.793 Å, c = 6.196 Å
α = 90.00°, β = 90.00°, γ = 120.00°
Each line ends with the local moment (μB).
Fractional coordinates of all 3 atoms:
Eu1 0.000 0.000 0.905  6.98
La1 0.667 0.333 0.434  0.10
H1 0.333 0.667 0.661  -0.01

Values from the calculation:
DFT total energy	-6.389	eV/atom

Material: La2Eu4H
Method: DFT, PBE-GGA
State: relaxed

a = 4.688 Å, b = 4.688 Å, c = 12.091 Å
α = 78.82°, β = 78.82°, γ = 90.00°
Each line ends with the local moment (μB).
Fractional coordinates of all 7 atoms:
La1 0.788 0.788 0.424  -0.30
La2 0.212 0.212 0.576  -0.30
Eu1 0.500 0.000 0.000  6.97
Eu2 0.633 0.633 0.735  -6.98
Eu3 0.000 0.500 0.000  6.97
Eu4 0.367 0.367 0.265  -6.98
H1 0.000 0.000 0.000  -0.03

Values from the calculation:
DFT total energy	-7.585	eV/atom

Material: La2EuH
Method: DFT, PBE-GGA
State: relaxed

a = 3.827 Å, b = 3.827 Å, c = 9.534 Å
α = 78.42°, β = 78.42°, γ = 60.00°
Each line ends with the local moment (μB).
Fractional coordinates of all 4 atoms:
H1 0.000 0.000 0.000  0.00
Eu1 0.500 0.500 0.500  7.02
La1 0.281 0.281 0.156  0.05
La2 0.719 0.719 0.844  0.05

Values from the calculation:
DFT total energy	-6.025	eV/atom

Material: LaEu3H
Method: DFT, PBE-GGA
State: relaxed

a = 5.365 Å, b = 5.365 Å, c = 5.365 Å
α = 90.00°, β = 90.00°, γ = 90.00°
Each line ends with the local moment (μB).
Fractional coordinates of all 5 atoms:
La1 0.500 0.500 0.500  0.29
H1 0.000 0.000 0.000  -0.02
Eu1 0.000 0.000 0.500  6.97
Eu2 0.000 0.500 0.000  6.97
Eu3 0.500 0.000 0.000  6.97

Values from the calculation:
DFT total energy	-7.931	eV/atom

Material: LiEu2H
Method: DFT, PBE-GGA
State: relaxed

a = 3.661 Å, b = 3.661 Å, c = 9.835 Å
α = 79.27°, β = 79.27°, γ = 60.00°
Each line ends with the local moment (μB).
Fractional coordinates of all 4 atoms:
Eu1 0.884 0.884 0.348  7.12
Eu2 0.116 0.116 0.652  7.12
H1 0.500 0.500 0.500  -0.03
Li1 0.000 0.000 0.000  0.01

Values from the calculation:
DFT total energy	-6.492	eV/atom

Material: LiEuH2
Method: DFT, PBE-GGA
State: relaxed

a = 3.406 Å, b = 3.406 Å, c = 5.782 Å
α = 72.87°, β = 72.87°, γ = 60.00°
Each line ends with the local moment (μB).
Fractional coordinates of all 4 atoms:
Eu1 0.500 0.500 0.500  7.17
H1 0.736 0.736 0.791  -0.02
H2 0.264 0.264 0.209  -0.02
Li1 0.000 0.000 0.000  0.04

Values from the calculation:
DFT total energy	-4.999	eV/atom

Material: Li2EuH
Method: DFT, PBE-GGA
State: relaxed

a = 3.248 Å, b = 3.248 Å, c = 9.107 Å
α = 79.73°, β = 79.73°, γ = 60.00°
Each line ends with the local moment (μB).
Fractional coordinates of all 4 atoms:
Eu1 0.000 0.000 0.000  7.30
Li1 0.124 0.124 0.629  0.00
Li2 0.876 0.876 0.371  0.00
H1 0.500 0.500 0.500  0.01

Values from the calculation:
DFT total energy	-4.284	eV/atom

Material: LiEuH
Method: DFT, PBE-GGA
State: relaxed

a = 5.510 Å, b = 5.510 Å, c = 8.732 Å
α = 90.02°, β = 90.00°, γ = 90.00°
Each line ends with the local moment (μB).
Fractional coordinates of all 12 atoms:
H1 0.250 0.000 0.500  -0.02
H2 0.750 0.500 0.500  -0.02
H3 0.250 0.500 0.500  -0.02
H4 0.750 0.000 0.500  -0.02
Li1 0.999 0.750 0.066  0.01
Li2 0.501 0.250 0.066  0.01
Li3 0.499 0.750 0.934  0.01
Li4 0.001 0.250 0.934  0.01
Eu1 0.000 0.750 0.652  6.93
Eu2 0.000 0.250 0.348  6.93
Eu3 0.500 0.750 0.348  6.93
Eu4 0.500 0.250 0.652  6.93

Values from the calculation:
polymorph energy (0 for the lowest one)	0.0	meV per atom